18
Lattice="5.355 0.085 0.637 0.612 6.754 3.558 0.234 -0.200 7.652" Properties=species:S:1:pos:R:3 comment="GGA-PBE Li3Cu2Au4, relaxed" magnetic_moment_mub_per_cell=0.0 volume_a3_per_cell=279.2 crystal_system=monoclinic final_energy_ev_per_cell=-59.5 pbc="T T T"
Li 5.082 5.496 10.078
Li 1.119 1.143 1.770
Li 4.436 3.275 6.122
Li 2.418 5.693 9.618
Li 1.765 3.364 5.726
Li 3.784 0.946 2.230
Au 4.824 3.137 3.543
Au 0.548 5.418 4.336
Au 2.993 1.170 7.181
Au 3.208 5.468 4.667
Au 2.041 1.149 4.370
Au 5.653 1.221 7.511
Au 1.377 3.502 8.304
Au 4.160 5.489 7.478
Cu 1.479 5.734 6.897
Cu 2.186 3.462 3.102
Cu 4.722 0.905 4.951
Cu 4.015 3.177 8.746

4
Lattice="4.404 0.000 0.000 2.202 3.814 0.000 2.202 1.271 3.596" Properties=species:S:1:pos:R:3 comment="GGA-PBE LiCuAu2, relaxed" magnetic_moment_mub_per_cell=0.0 volume_a3_per_cell=60.4 crystal_system=cubic final_energy_ev_per_cell=-13.8 pbc="T T T"
Cu 2.202 1.271 0.899
Li 6.606 3.814 2.697
Au 0.000 0.000 0.000
Au 4.404 2.543 1.798

11
Lattice="4.113 0.000 -1.256 -1.034 5.907 -3.388 -0.019 0.170 7.304" Properties=species:S:1:pos:R:3 comment="GGA-PBE Li2Cu2Au7, relaxed" magnetic_moment_mub_per_cell=0.0 volume_a3_per_cell=180.0 crystal_system=orthorhombic final_energy_ev_per_cell=-37.1 pbc="T T T"
Cu 1.707 1.995 -1.772
Cu -0.646 3.693 -2.118
Au 3.343 1.242 3.588
Au 1.070 5.634 -3.859
Au 0.943 2.905 3.090
Au 2.700 4.590 1.478
Au 1.868 4.597 -1.246
Au 0.078 2.775 0.255
Au 0.553 0.390 1.812
Li 2.565 1.972 1.037
Li 0.257 5.471 0.841

- Number 3 is which compound?
  Li2Cu2Au7